# ScAlP2, relaxed, DFT PBE
# Formation energy = -0.5048 eV/atom
# Total DFT energy (no corrections) = -0.421 Ry/atom
# Density of states at the Fermi level = 2.23 states/eV/cell
# Crystal system = tetragonal
data_ScAlP2
_space_group_name_H-M_alt 'P 4/m m m'
_space_group_IT_number 123
_space_group_name_Hall '-P 4 2'
_cell_length_a 3.425
_cell_length_b 3.425
_cell_length_c 5.559
_cell_angle_alpha 90.00
_cell_angle_beta 90.00
_cell_angle_gamma 90.00
loop_
_atom_site_label
_atom_site_fract_x
_atom_site_fract_y
_atom_site_fract_z
Sc1 0.000 0.000 0.000
Al1 0.000 0.000 0.500
P1 0.500 0.500 0.240